# 1
A crystal of Sr11InSb9 relaxed with PBEsol, computed with meta-GGA SCAN.

a b c (Å): 12.504 12.504 12.504
angles (deg): 120.92 117.43 91.47
Positions (direct):
1 Sr 0.000 0.000 0.000
2 Sr 0.007 0.340 0.987
3 Sr 0.066 0.249 0.640
4 Sr 0.105 0.367 0.370
5 Sr 0.109 0.749 0.183
6 Sr 0.243 0.593 0.794
7 Sr 0.250 0.995 0.627
8 Sr 0.300 0.093 0.350
9 Sr 0.352 0.019 0.013
10 Sr 0.368 0.623 0.373
11 Sr 0.497 0.867 0.262
12 Sr 0.500 0.500 0.000
13 Sr 0.507 0.519 0.667
14 Sr 0.566 0.926 0.817
15 Sr 0.605 0.235 0.738
16 Sr 0.609 0.426 0.360
17 Sr 0.743 0.950 0.650
18 Sr 0.750 0.123 0.255
19 Sr 0.800 0.450 0.206
20 Sr 0.852 0.840 0.333
21 Sr 0.868 0.495 0.745
22 Sr 0.997 0.735 0.630
23 In 0.288 0.288 0.000
24 In 0.788 0.788 0.000
25 Sb 0.010 0.020 0.290
26 Sb 0.059 0.048 0.756
27 Sb 0.077 0.648 0.361
28 Sb 0.175 0.818 0.000
29 Sb 0.229 0.520 0.009
30 Sb 0.288 0.716 0.639
31 Sb 0.292 0.303 0.244
32 Sb 0.318 0.318 0.643
33 Sb 0.428 0.928 0.500
34 Sb 0.510 0.220 0.991
35 Sb 0.559 0.803 0.011
36 Sb 0.577 0.216 0.429
37 Sb 0.675 0.674 0.357
38 Sb 0.729 0.720 0.710
39 Sb 0.788 0.148 0.571
40 Sb 0.792 0.548 0.989
41 Sb 0.818 0.174 0.000
42 Sb 0.928 0.428 0.500

Results
E: -30.35 eV/atom
ΔE_f (raw): -1.126 eV per atom

# 2
A crystal of TaTiNbI2 relaxed with PBEsol, computed with meta-GGA SCAN.

a b c (Å): 5.326 5.326 4.927
angles (deg): 90.00 90.00 90.00
Positions (direct):
1 Ta 0.000 0.000 0.000
2 Ti 0.500 0.500 0.500
3 Nb 0.000 0.000 0.500
4 I 0.000 0.500 0.000
5 I 0.500 0.000 0.000

Results
E: -36.41 eV/atom
ΔE_f (raw): 1.437 eV per atom

# 3
A crystal of Ga3Os relaxed with PBEsol, computed with meta-GGA SCAN.

a b c (Å): 6.471 6.471 6.735
angles (deg): 90.00 90.00 90.00
Positions (direct):
1 Ga 0.000 0.500 0.000
2 Ga 0.000 0.500 0.500
3 Ga 0.156 0.156 0.235
4 Ga 0.156 0.156 0.765
5 Ga 0.344 0.656 0.265
6 Ga 0.344 0.656 0.735
7 Ga 0.500 0.000 0.000
8 Ga 0.500 0.000 0.500
9 Ga 0.656 0.344 0.265
10 Ga 0.656 0.344 0.735
11 Ga 0.844 0.844 0.235
12 Ga 0.844 0.844 0.765
13 Os 0.159 0.841 0.000
14 Os 0.341 0.341 0.500
15 Os 0.659 0.659 0.500
16 Os 0.841 0.159 0.000

Results
energy of formation: -0.35 eV per atom
E: -30.58 eV/atom

# 4
A crystal of BeFe4 relaxed with PBEsol, computed with meta-GGA SCAN.

a b c (Å): 4.264 4.264 4.264
angles (deg): 109.47 109.47 109.47
Positions (direct):
1 Be 0.000 0.000 0.000
2 Fe 0.000 0.000 0.500
3 Fe 0.000 0.500 0.000
4 Fe 0.500 0.000 0.000
5 Fe 0.500 0.500 0.500

Results
energy of formation: 0.49 eV per atom
E: -14.89 eV/atom

# 5
A crystal of CdIn2W relaxed with PBEsol, computed with meta-GGA SCAN.

a b c (Å): 3.028 4.397 5.861
angles (deg): 90.00 90.00 90.00
Positions (direct):
1 Cd 0.000 0.000 0.000
2 In 0.000 0.000 0.531
3 In 0.500 0.500 0.238
4 W 0.500 0.500 0.741

Results
energy of formation: 0.62 eV per atom
E: -41.10 eV/atom

# 6
A crystal of Sr2LiMg2 relaxed with PBEsol, computed with meta-GGA SCAN.

a b c (Å): 8.095 8.095 5.336
angles (deg): 90.00 90.00 90.00
Positions (direct):
1 Sr 0.173 0.327 0.000
2 Sr 0.327 0.827 0.000
3 Sr 0.673 0.173 0.000
4 Sr 0.827 0.673 0.000
5 Li 0.000 0.000 0.500
6 Li 0.500 0.500 0.500
7 Mg 0.132 0.632 0.500
8 Mg 0.368 0.132 0.500
9 Mg 0.632 0.868 0.500
10 Mg 0.868 0.368 0.500

Results
energy of formation: 0.04 eV per atom
E: -11.33 eV/atom

# 7
A crystal of CsOsO2 relaxed with PBEsol, computed with meta-GGA SCAN.

a b c (Å): 6.709 6.709 6.709
angles (deg): 134.15 134.15 66.85
Positions (direct):
1 Cs 0.375 0.625 0.750
2 Cs 0.625 0.375 0.250
3 Os 0.125 0.875 0.250
4 Os 0.875 0.125 0.750
5 O 0.000 0.000 0.000
6 O 0.000 0.000 0.500
7 O 0.000 0.500 0.000
8 O 0.500 0.000 0.500

Results
E: -31.17 eV/atom
ΔE_f (raw): -0.631 eV per atom

# 8
A crystal of BaY2As relaxed with PBEsol, computed with meta-GGA SCAN.

a b c (Å): 6.492 6.492 6.676
angles (deg): 120.35 120.35 34.08
Positions (direct):
1 Ba 0.000 0.000 0.000
2 Y 0.163 0.163 0.654
3 Y 0.360 0.360 0.368
4 As 0.732 0.732 0.006

Results
energy of formation: -0.60 eV per atom
E: -29.46 eV/atom

# 9
A crystal of SrTe2NF relaxed with PBEsol, computed with meta-GGA SCAN.

a b c (Å): 4.693 4.693 5.197
angles (deg): 90.00 90.00 90.00
Positions (direct):
1 Sr 0.000 0.000 0.000
2 Te 0.000 0.500 0.500
3 Te 0.500 0.000 0.500
4 N 0.500 0.500 0.000
5 F 0.500 0.500 0.500

Results
E: -22.01 eV/atom
ΔE_f (raw): -0.092 eV per atom

# 10
A crystal of MgCuW relaxed with PBEsol, computed with meta-GGA SCAN.

a b c (Å): 4.177 4.177 4.177
angles (deg): 60.00 60.00 60.00
Positions (direct):
1 Mg 0.000 0.000 0.000
2 Cu 0.250 0.250 0.250
3 W 0.750 0.750 0.750

Results
energy of formation: 1.75 eV per atom
E: -28.20 eV/atom

# 11
A crystal of La2ScCr relaxed with PBEsol, computed with meta-GGA SCAN.

a b c (Å): 5.897 5.897 5.897
angles (deg): 134.44 134.44 66.40
Positions (direct):
1 La 0.000 0.000 0.000
2 La 0.750 0.250 0.500
3 Sc 0.500 0.500 0.000
4 Cr 0.250 0.750 0.500

Results
energy of formation: 0.22 eV per atom
E: -29.49 eV/atom
energy above the lowest structure with this stoichiometry: 0.073 eV per atom

# 12
A crystal of In2Pb3 relaxed with PBEsol, computed with meta-GGA SCAN.

a b c (Å): 14.140 14.140 14.140
angles (deg): 13.82 13.82 13.82
Positions (direct):
1 In 0.101 0.101 0.101
2 In 0.899 0.899 0.899
3 Pb 0.298 0.298 0.298
4 Pb 0.500 0.500 0.500
5 Pb 0.702 0.702 0.702

Results
energy of formation: 0.04 eV per atom
E: -58.78 eV/atom

| no. | density (g/cm3) |
| --- | --- |
| 1 | 5.167 |
| 2 | 6.837 |
| 3 | 9.406 |
| 4 | 6.467 |
| 5 | 11.190 |
| 6 | 2.192 |
| 7 | 7.710 |
| 8 | 4.840 |
| 9 | 5.454 |
| 10 | 8.753 |
| 11 | 6.047 |
| 12 | 10.069 |